DFT (PBE with a Hubbard U) results for Li6MnFe5B6O18 after structural relaxation.

Properties
Space group = Pm, No. 6
Total moment = 24.9 Bohr magnetons per cell
Calculated total energy = -0.513 Ry per atom

Cell: 6.307 8.208 8.206 Å, 60.15 90.00 90.00°
Site moments in Bohr magnetons follow the coordinates.
Positions (direct):
1 Fe 0.500 0.369 0.617  3.76
2 Fe 0.000 0.361 0.633  3.75
3 Fe 0.500 0.632 0.008  3.74
4 Fe 0.500 0.014 0.370  3.75
5 Fe 0.000 0.006 0.361  3.75
6 B 0.500 0.002 0.000  0.01
7 B 0.251 0.332 0.335  0.02
8 B 0.749 0.666 0.666  0.01
9 B 0.000 0.001 0.998  0.01
10 B 0.749 0.332 0.335  0.02
11 B 0.251 0.666 0.666  0.01
12 O 0.251 0.252 0.530  0.04
13 O 0.249 0.559 0.578  0.04
14 O 0.500 0.913 0.892  0.04
15 O 0.250 0.217 0.255  0.04
16 O 0.000 0.196 0.915  0.04
17 O 0.251 0.526 0.221  0.03
18 O 0.500 0.894 0.195  0.03
19 O 0.749 0.252 0.530  0.04
20 O 0.000 0.890 0.193  0.04
21 O 0.751 0.861 0.559  0.04
22 O 0.249 0.861 0.559  0.04
23 O 0.750 0.217 0.255  0.04
24 O 0.253 0.578 0.861  0.04
25 O 0.500 0.197 0.910  0.03
26 O 0.751 0.559 0.578  0.04
27 O 0.747 0.578 0.861  0.04
28 O 0.000 0.918 0.887  0.03
29 O 0.749 0.526 0.221  0.03
30 Li 0.251 0.984 0.719  0.00
31 Li 0.253 0.720 0.298  0.00
32 Li 0.747 0.720 0.298  0.00
33 Li 0.745 0.297 0.984  0.00
34 Li 0.749 0.984 0.719  0.00
35 Li 0.255 0.297 0.984  0.00
36 Mn 0.000 0.623 0.013  4.60